A geometry-optimized Pr2GdSn3Pt3 structure. Source: OQMD, functional PBE.

Results
Theoretical density, kg/m³: 11006
Energy, eV per atom: -5.99

```
Pr2GdSn3Pt3
1.0
-0.823 -2.998 -2.708
6.954 -2.934 1.133
-5.850 -2.303 4.328
Gd Pr Pt Sn
1 2 3 3
Cartesian
0.652 -3.092 3.224 Gd
2.861 -1.209 0.468 Pr
-2.406 -0.949 1.782 Pr
2.223 -4.231 0.869 Pt
-1.937 -4.026 1.907 Pt
1.100 -5.214 5.438 Pt
-0.131 -2.829 0.032 Sn
2.158 -6.144 3.007 Sn
-1.056 -5.986 3.809 Sn
```

A geometry-optimized LaHfNbIr2 structure. Source: OQMD, functional PBE.

Results
Energy of formation, eV per formula unit: -1.3
Theoretical density, kg/m³: 11537
Energy, eV per atom: -8.81

```
LaHfNbIr2
1.0
-3.646 -1.537 4.705
-6.008 0.699 -1.098
4.672 -2.702 -2.943
Hf Ir La Nb
1 2 1 1
Cartesian
-6.173 -0.536 2.306 Hf
-1.959 -2.334 1.804 Ir
-3.140 -1.216 -1.097 Ir
-9.594 -0.833 3.584 La
-3.425 -0.297 1.280 Nb
```